The following is a DFT calculation (PBE-GGA) of a geometry-optimized SmErTlPt structure.

Properties
Uncorrected energy: -5.09 eV/atom
Energy of formation from the pure elements: -2.7 eV/f.u.

a b c (Å): 7.330 7.330 7.330
angles (deg): 90.00 90.00 90.00
Space group F-43m (No. 216)
Unique sites:
Sm  0.000  0.000  0.000 x4
Er  0.000  0.000  0.500 x4
Tl  0.250  0.250  0.250 x4
Pt  0.250  0.250  0.750 x4